Entry 1:
## DyEr2Lu4Te2Pd2 (PBE-GGA)

Data for crystalline DyEr2Lu4Te2Pd2 at its relaxed geometry.

Summary:
* total magnetic moment: 0.0 μB per formula unit

Lattice parameters (Å, degrees): 9.276 9.276 9.276 155.66 67.16 118.49
Fractional positions:
1 Dy 0.000 0.000 0.000
2 Er 0.092 0.736 0.355
3 Er 0.381 0.736 0.645
4 Lu 0.057 0.374 0.683
5 Lu 0.453 0.585 0.869
6 Lu 0.691 0.374 0.317
7 Lu 0.716 0.585 0.131
8 Te 0.341 0.341 0.000
9 Te 0.734 0.234 0.500
10 Pd 0.306 0.068 0.238
11 Pd 0.830 0.068 0.762

=====

Entry 2:
## DyEr4Lu2Te2Pd2 (PBE-GGA)

Data for crystalline DyEr4Lu2Te2Pd2 at its relaxed geometry.

Summary:
* total magnetic moment: 0.0 μB per formula unit

Lattice parameters (Å, degrees): 9.311 9.311 9.311 155.72 67.17 118.45
Fractional positions:
1 Dy 0.000 0.000 0.000
2 Er 0.091 0.735 0.356
3 Er 0.379 0.735 0.644
4 Er 0.453 0.584 0.869
5 Er 0.714 0.584 0.131
6 Lu 0.058 0.374 0.683
7 Lu 0.691 0.374 0.317
8 Te 0.339 0.339 0.000
9 Te 0.735 0.235 0.500
10 Pd 0.305 0.068 0.236
11 Pd 0.832 0.068 0.764

=====

no.,final energy (eV/atom)
1,-5.26
2,-5.27